Entry 1:
4
Lattice="-0.927 0.805 -4.257 -1.968 -3.882 -0.305 -3.785 1.827 1.170" Properties=species:S:1:pos:R:3 comment="PuPaGa2, optimized geometry, DFT PBE-GGA" sg="P4/mmm (123)" relative_energy_mev_per_atom=0 e_form_mev_per_atom=-296 pbc="T T T"
Pa -3.340 -0.625 -1.696
Pu -0.464 0.402 -2.129
Ga -0.984 -1.941 -0.153
Ga -1.893 0.914 0.585


Entry 2:
11
Lattice="4.990 -0.019 -0.013 0.754 7.700 0.078 0.754 2.723 7.203" Properties=species:S:1:pos:R:3 comment="Pu2Pa8Ga, optimized geometry, DFT PBE-GGA" sg="C2/m (12)" e_form_mev_per_atom=207 pbc="T T T"
Pa 1.586 4.887 0.959
Pa 2.147 6.130 4.282
Pa 4.352 4.274 2.986
Pa 4.913 7.822 3.009
Pa 4.621 8.719 6.090
Pa 1.586 2.582 4.258
Pa 1.878 1.685 1.177
Pa 4.913 5.517 6.309
Pu 4.305 2.222 1.552
Pu 2.194 8.182 5.715
Ga 0.000 0.000 0.000


Entry 3:
10
Lattice="-3.194 0.253 0.410 -1.225 -2.883 -7.760 -0.088 -7.712 4.074" Properties=species:S:1:pos:R:3 comment="Pu2Pa2Ga, optimized geometry, DFT PBE-GGA" sg="P2_1/m (11)" relative_energy_mev_per_atom=0 e_form_mev_per_atom=75 pbc="T T T"
Pu -2.031 -9.207 -3.770
Pu -0.995 -5.068 1.744
Pu -2.477 -1.135 0.494
Pu -3.513 -5.274 -5.020
Pa -1.700 -6.830 -2.663
Pa -1.205 -0.905 -2.463
Pa -3.303 -9.437 -0.813
Pa -2.807 -3.513 -0.613
Ga -2.965 -6.531 0.021
Ga -1.542 -3.812 -3.297


Entry 4:
10
Lattice="3.860 0.000 0.000 0.000 3.860 0.000 0.000 0.000 14.831" Properties=species:S:1:pos:R:3 comment="PuPa4Ga5, optimized geometry, DFT PBE-GGA" sg="P4/mmm (123)" e_form_mev_per_atom=-207 pbc="T T T"
Ga 1.930 1.930 13.394
Ga 1.930 1.930 10.419
Ga 1.930 1.930 4.412
Ga 1.930 1.930 1.437
Ga 1.930 1.930 7.416
Pa 0.000 0.000 8.933
Pa 0.000 0.000 11.917
Pa 0.000 0.000 2.914
Pa 0.000 0.000 5.899
Pu 0.000 0.000 0.000


Entry 5:
7
Lattice="-5.547 -0.726 1.186 3.916 -2.156 3.567 0.810 5.749 0.233" Properties=species:S:1:pos:R:3 comment="Pu4PaGa2, optimized geometry, DFT PBE-GGA" sg="Fmmm (69)" e_form_mev_per_atom=-1 pbc="T T T"
Ga -0.004 3.114 1.886
Ga -0.817 -0.247 3.100
Pu 1.955 1.076 3.089
Pu -2.777 1.791 1.898
Pu -2.774 -0.363 0.593
Pu 1.958 -1.078 1.784
Pa 0.000 0.000 0.000


Entry 6:
12
Lattice="-0.604 -4.049 3.637 4.338 -2.964 1.543 2.820 3.469 8.454" Properties=species:S:1:pos:R:3 comment="Pu3PaGa8, optimized geometry, DFT PBE-GGA" sg="R3m (160)" relative_energy_mev_per_atom=0 e_form_mev_per_atom=-394 pbc="T T T"
Ga 1.863 -4.434 5.678
Ga 2.165 -2.411 3.861
Ga 5.739 -2.173 8.843
Ga 1.935 0.207 4.675
Ga 5.437 -4.196 10.660
Ga 5.210 -1.574 11.481
Ga 3.270 -2.715 9.889
Ga 4.333 -3.892 4.632
Pu 3.871 0.417 9.353
Pu 2.820 3.469 8.454
Pu 3.271 -1.794 6.792
Pa 4.327 -4.827 7.713


Entry 7:
4
Lattice="-0.523 -2.882 -2.342 2.627 1.385 -2.290 4.536 -3.386 3.154" Properties=species:S:1:pos:R:3 comment="PuPa2Ga, optimized geometry, DFT PBE-GGA" sg="P4/mmm (123)" relative_energy_mev_per_atom=116 e_form_mev_per_atom=-40 pbc="T T T"
Pu 1.052 -0.748 -2.316
Pa 1.171 -0.874 0.814
Pa 3.366 -2.512 2.340
Ga 3.320 -2.441 -0.740


Entry 8:
18
Lattice="8.223 0.000 0.000 0.000 8.223 0.000 0.000 0.000 6.177" Properties=species:S:1:pos:R:3 comment="PuPa4Ga4, optimized geometry, DFT PBE-GGA" sg="P4_2/nmc (137)" e_form_mev_per_atom=-150 pbc="T T T"
Pa 4.112 6.427 2.287
Pa 1.796 4.112 3.890
Pa 6.427 4.112 3.890
Pa 2.316 0.000 5.375
Pa 5.908 0.000 5.375
Pa 4.112 1.796 2.287
Pa 0.000 2.316 0.802
Pa 0.000 5.908 0.802
Ga 5.741 4.112 0.770
Ga 0.000 6.595 3.859
Ga 0.000 1.629 3.859
Ga 1.629 0.000 2.318
Ga 2.483 4.112 0.770
Ga 4.112 2.483 5.407
Ga 4.112 5.741 5.407
Ga 6.595 0.000 2.318
Pu 0.000 0.000 0.000
Pu 4.112 4.112 3.089


Entry 9:
12
Lattice="-0.805 -5.543 0.022 2.330 2.509 4.433 -7.755 1.140 3.431" Properties=species:S:1:pos:R:3 comment="Pu3PaGa8, optimized geometry, DFT PBE-GGA" sg="P3m1 (156)" relative_energy_mev_per_atom=9 e_form_mev_per_atom=-385 pbc="T T T"
Pu -0.465 -2.755 1.804
Pu -7.073 1.039 3.129
Pu -2.919 -2.395 2.890
Ga -5.456 -3.355 4.768
Ga -0.538 -1.395 4.612
Ga -2.586 0.394 4.675
Ga -1.342 0.204 2.264
Ga -0.114 1.526 4.600
Ga -6.177 -1.923 2.664
Ga 1.271 -0.173 2.969
Ga -5.076 -0.737 4.757
Pa -4.553 0.669 2.015


Entry 10:
4
Lattice="4.285 0.000 0.000 0.000 4.592 0.000 0.000 0.000 4.592" Properties=species:S:1:pos:R:3 comment="PuPa2Ga, optimized geometry, DFT PBE-GGA" sg="P4/mmm (123)" relative_energy_mev_per_atom=0 e_form_mev_per_atom=-156 pbc="T T T"
Pa 0.000 2.296 0.000
Pa 0.000 0.000 2.296
Ga 2.142 0.000 0.000
Pu 2.142 2.296 2.296


Entry 11:
4
Lattice="3.122 0.000 0.000 1.561 2.704 0.000 1.561 0.901 11.007" Properties=species:S:1:pos:R:3 comment="PuPa2Ga, optimized geometry, DFT PBE-GGA" sg="R-3m (166)" relative_energy_mev_per_atom=286 e_form_mev_per_atom=130 pbc="T T T"
Ga 3.122 1.803 5.503
Pu 0.000 0.000 0.000
Pa 4.684 2.704 2.935
Pa 1.561 0.901 8.072


Entry 12:
12
Lattice="-4.420 1.214 -1.233 -1.851 -5.792 0.932 -1.894 2.019 8.783" Properties=species:S:1:pos:R:3 comment="Pu3Pa2Ga, optimized geometry, DFT PBE-GGA" sg="Pmc2_1 (26)" relative_energy_mev_per_atom=0 e_form_mev_per_atom=-40 pbc="T T T"
Pa -4.589 -1.699 5.645
Pa -2.255 -0.331 7.759
Pa -1.869 -4.625 2.146
Pa -3.108 0.605 2.602
Pu -2.454 0.150 -0.190
Pu -5.128 -0.883 8.378
Pu -1.455 -0.004 5.212
Pu -3.881 -2.118 2.692
Pu -2.107 -3.191 4.410
Pu -3.656 1.525 5.474
Ga -3.131 -3.285 7.991
Ga -0.995 -1.678 1.915